The following is a DFT calculation (GGA-PBE) of a geometry-optimized Sr2Mg5Ge4 structure.

Fermi-level density of states ... 3.24 states/eV/f.u.
Formation energy from the elements ... -0.285 eV per atom
Final energy ... -131.8 eV for the cell shown

Cell lengths 6.2827, 11.3522, 15.3260 Å; angles 90.00, 90.00, 90.00 degrees
Space group Fmmm (No. 69)
Unique sites:
Sr 0.0000 0.0000 0.1489 (multiplicity 8)
Mg 0.0000 0.0000 0.5000 (multiplicity 4)
Mg 0.2500 0.2500 0.0000 (multiplicity 8)
Mg 0.2500 0.2500 0.2500 (multiplicity 8)
Ge 0.0000 0.1223 0.3568 (multiplicity 16)